The following is a DFT calculation (PBE) of a relaxed LiAc2TeS6 crystal.

Calculated values
- Formation energy from raw total energies: -1.231 eV/atom
- Space-group type: No. 14
- Magnetic moment: 0.00 μB/cell
- Crystal system: monoclinic

Cell: 6.7639 7.4229 11.7033 Å, 90.00 124.39 90.00°
Fractional positions:
Li (0.0000, 0.0000, 0.0000)
Li (0.0000, 0.5000, 0.5000)
Ac (0.2190, 0.0965, 0.7494)
Ac (0.2190, 0.4035, 0.2494)
Ac (0.7810, 0.5965, 0.7506)
Ac (0.7810, 0.9035, 0.2506)
Te (0.5000, 0.0000, 0.5000)
Te (0.5000, 0.5000, 0.0000)
S (0.1343, 0.1838, 0.4491)
S (0.1343, 0.3162, 0.9491)
S (0.2714, 0.6949, 0.4533)
S (0.2714, 0.8051, 0.9533)
S (0.3509, 0.0188, 0.2451)
S (0.3509, 0.4812, 0.7451)
S (0.6491, 0.5188, 0.2549)
S (0.6491, 0.9812, 0.7549)
S (0.7286, 0.1949, 0.0467)
S (0.7286, 0.3051, 0.5467)
S (0.8657, 0.6838, 0.0509)
S (0.8657, 0.8162, 0.5509)

The following is a DFT calculation (PBE) of a relaxed Li2AcThS4 crystal.

Calculated values
- Formation energy from raw total energies: -1.674 eV/atom
- Space-group type: No. 10
- Magnetic moment: 0.00 μB/cell
- Crystal system: monoclinic

Cell: 6.7096 4.1052 7.1818 Å, 90.00 110.76 90.00°
Fractional positions:
Li (0.0000, 0.0000, 0.0000)
Li (0.0000, 0.5000, 0.5000)
Ac (0.5000, 0.0000, 0.5000)
Th (0.5000, 0.5000, 0.0000)
S (0.2313, 0.5000, 0.2264)
S (0.2368, 0.0000, 0.7592)
S (0.7632, 0.0000, 0.2408)
S (0.7687, 0.5000, 0.7736)

The following is a DFT calculation (PBE) of a relaxed LiAc2TiS5 crystal.

Calculated values
- Formation energy from raw total energies: -1.784 eV/atom
- Space-group type: No. 36
- Magnetic moment: 1.87 μB/cell
- Crystal system: orthorhombic

Cell: 8.6354 8.6354 11.7008 Å, 90.00 90.00 152.53°
Fractional positions:
Li (0.0576, 0.9424, 0.5000)
Li (0.9424, 0.0576, 0.0000)
Ac (0.3693, 0.6307, 0.3494)
Ac (0.3847, 0.6153, 0.7389)
Ac (0.6153, 0.3847, 0.2389)
Ac (0.6307, 0.3693, 0.8494)
Ti (0.3049, 0.6951, 0.0571)
Ti (0.6951, 0.3049, 0.5571)
S (0.0026, 0.9974, 0.8184)
S (0.1518, 0.8482, 0.0486)
S (0.1927, 0.8073, 0.4147)
S (0.2096, 0.7904, 0.6942)
S (0.4421, 0.5579, 0.0925)
S (0.5579, 0.4421, 0.5925)
S (0.7904, 0.2096, 0.1942)
S (0.8073, 0.1927, 0.9147)
S (0.8482, 0.1518, 0.5486)
S (0.9974, 0.0026, 0.3184)

The following is a DFT calculation (PBE) of a relaxed LiAc2TiS6 crystal.

Calculated values
- Formation energy from raw total energies: -1.643 eV/atom
- Space-group type: No. 14
- Magnetic moment: 0.00 μB/cell
- Crystal system: monoclinic

Cell: 6.2653 7.4372 11.3921 Å, 90.00 122.69 90.00°
Fractional positions:
Li (0.0000, 0.0000, 0.0000)
Li (0.0000, 0.5000, 0.5000)
Ac (0.2110, 0.0978, 0.7526)
Ac (0.2110, 0.4022, 0.2526)
Ac (0.7890, 0.5978, 0.7474)
Ac (0.7890, 0.9022, 0.2474)
Ti (0.5000, 0.0000, 0.5000)
Ti (0.5000, 0.5000, 0.0000)
S (0.1390, 0.1783, 0.4603)
S (0.1390, 0.3217, 0.9603)
S (0.2879, 0.7069, 0.4591)
S (0.2879, 0.7931, 0.9591)
S (0.3288, 0.0144, 0.2535)
S (0.3288, 0.4856, 0.7535)
S (0.6712, 0.5144, 0.2465)
S (0.6712, 0.9856, 0.7465)
S (0.7121, 0.2069, 0.0409)
S (0.7121, 0.2931, 0.5409)
S (0.8610, 0.6783, 0.0397)
S (0.8610, 0.8217, 0.5397)

The following is a DFT calculation (PBE) of a relaxed Li3Ac2TmS6 crystal.

Calculated values
- Formation energy from raw total energies: -1.836 eV/atom
- Space-group type: No. 12
- Magnetic moment: 0.00 μB/cell
- Crystal system: monoclinic

Cell: 8.8431 8.8431 7.5703 Å, 90.45 90.45 26.75°
Fractional positions:
Li (0.0000, 0.0000, 0.0000)
Li (0.3792, 0.3792, 0.7758)
Li (0.6208, 0.6208, 0.2242)
Ac (0.3077, 0.3077, 0.2454)
Ac (0.6923, 0.6923, 0.7546)
Tm (0.0000, 0.0000, 0.5000)
S (0.1573, 0.1573, 0.0251)
S (0.1577, 0.1577, 0.4729)
S (0.4846, 0.4846, 0.2605)
S (0.5154, 0.5154, 0.7395)
S (0.8423, 0.8423, 0.5271)
S (0.8427, 0.8427, 0.9749)

The following is a DFT calculation (PBE) of a relaxed LiAc3Tm3S8 crystal.

Calculated values
- Formation energy from raw total energies: -1.958 eV/atom
- Space-group type: No. 166
- Magnetic moment: 0.00 μB/cell
- Crystal system: trigonal

Cell: 8.2058 8.2058 8.2058 Å, 58.06 58.06 58.06°
Fractional positions:
Li (0.0000, 0.0000, 0.0000)
Ac (0.0000, 0.0000, 0.5000)
Ac (0.0000, 0.5000, 0.0000)
Ac (0.5000, 0.0000, 0.0000)
Tm (0.0000, 0.5000, 0.5000)
Tm (0.5000, 0.0000, 0.5000)
Tm (0.5000, 0.5000, 0.0000)
S (0.2421, 0.2421, 0.7361)
S (0.2421, 0.7361, 0.2421)
S (0.2613, 0.2613, 0.2613)
S (0.2639, 0.7579, 0.7579)
S (0.7361, 0.2421, 0.2421)
S (0.7387, 0.7387, 0.7387)
S (0.7579, 0.2639, 0.7579)
S (0.7579, 0.7579, 0.2639)

- Among the records above, which one has the highest magnetic moment?
  LiAc2TiS5

- Which formula does entry 4 have?
  LiAc2TiS6